# FeRe2Se

A geometry-optimized FeRe2Se structure (PBE-GGA, Alexandria).

Unit cell a=3.7106 b=3.7106 c=4.2915 alpha=90.00 beta=90.00 gamma=90.00
With the nearest neighbours (Å) after each atom.
Space group P4/mmm (No. 123)
Asymmetric unit:
Fe  0.0000  0.0000  0.0000 x1  4 Se 2.62, 8 Re 2.84
Re  0.0000  0.5000  0.5000 x2  4 Re 2.62, 4 Fe 2.84, 4 Se 2.84
Se  0.5000  0.5000  0.0000 x1  4 Fe 2.62, 8 Re 2.84

E_form (uncorrected), eV/atom: 0.84